First-principles (GGA-PBE) data for an optimized crystal structure of TbYHo2S6, as listed in the Alexandria database.

```
TbYHo2S6
1.0
6.907 0.001 0.000
3.454 5.981 0.000
3.453 1.994 6.167
S Y Tb Ho
6 1 1 2
direct
0.117 0.413 0.750
0.719 0.117 0.750
0.619 0.219 0.250
0.219 0.911 0.250
0.413 0.719 0.750
0.912 0.619 0.250
0.815 0.815 0.554
0.315 0.315 0.056
0.516 0.516 0.452
0.016 0.016 0.951
```

uncorrected energy: -6.564 eV/atom
symmetry: R3 (146)
magnetic moment: 0.00 μB per cell
raw formation energy: -2063 meV/atom
DOS(E_F): 0.0 states/eV/cell